Record 1
## KTlIn5 (PBE-GGA)

Data for a relaxed structure of KTlIn5.

POSCAR file:
```
KTlIn5
1.0
-2.897 0.408 3.532
-3.433 -1.505 -2.642
2.202 -10.278 2.992
K Tl In
1 1 5
Direct
0.000 0.000 0.500
0.000 0.000 0.000
0.500 0.500 0.000
0.000 0.500 0.230
0.500 0.000 0.230
0.000 0.500 0.770
0.500 0.000 0.770
```



Record 2
## BaZrOF2 (PBE-GGA)

Data for a relaxed structure of BaZrOF2.

POSCAR file:
```
BaZrOF2
1.0
-1.600 1.706 4.191
3.332 -2.564 2.315
3.372 4.054 -0.363
O Ba Zr F
1 1 1 2
Direct
0.000 0.000 0.500
0.000 0.000 0.000
0.500 0.500 0.500
0.000 0.500 0.000
0.500 0.000 0.000
```

Properties
Formation energy without anion corrections ... -1.369 eV/atom
Excess energy over the best structure of this formula in the dataset ... 1304 meV/atom



Record 3
## CrNi2Pt2 (PBE-GGA)

Data for a relaxed structure of CrNi2Pt2.

POSCAR file:
```
CrNi2Pt2
1.0
-0.464 -1.920 3.593
0.366 -2.177 -3.455
9.765 -0.197 1.157
Cr Ni Pt
2 4 4
Direct
0.000 0.000 0.250
0.000 0.000 0.750
0.333 0.667 0.622
0.667 0.333 0.122
0.667 0.333 0.378
0.333 0.667 0.878
0.667 0.333 0.750
0.000 0.000 0.000
0.000 0.000 0.500
0.333 0.667 0.250
```

Properties
Excess energy over the best structure of this formula in the dataset ... 0 meV/atom



Record 4
## KAlHg3 (PBE-GGA)

Data for a relaxed structure of KAlHg3.

POSCAR file:
```
KAlHg3
1.0
-0.025 -6.142 -0.176
6.139 -0.032 0.254
-0.255 -0.175 6.137
K Hg Al
1 3 1
Direct
0.000 0.000 0.000
0.000 0.500 0.000
0.000 0.000 0.500
0.500 0.000 0.000
0.500 0.500 0.500
```

Properties
Excess energy over the best structure of this formula in the dataset ... 701 meV/atom



Record 5
## Ho5Ru6 (PBE-GGA)

Data for a relaxed structure of Ho5Ru6.

POSCAR file:
```
Ho5Ru6
1.0
0.667 0.534 -4.505
-2.075 -6.535 -1.082
-5.844 5.197 2.085
Ho Ru
5 6
Direct
0.000 0.500 0.000
0.679 0.679 0.357
0.321 0.321 0.643
0.359 0.859 0.717
0.641 0.141 0.283
0.500 0.712 0.000
0.500 0.288 0.000
0.836 0.088 0.672
0.836 0.584 0.672
0.164 0.912 0.328
0.164 0.416 0.328
```



Record 6
## Cs2KCdCl6 (PBE-GGA)

Data for a relaxed structure of Cs2KCdCl6.

POSCAR file:
```
Cs2KCdCl6
1.0
7.933 0.000 0.000
0.000 7.933 0.000
3.966 3.966 5.609
Cs K Cl Cd
2 1 6 1
Direct
0.750 0.250 0.500
0.250 0.750 0.500
0.500 0.500 0.000
0.233 0.233 0.535
0.767 0.767 0.465
0.233 0.233 0.000
0.767 0.767 0.000
0.767 0.233 0.000
0.233 0.767 0.000
0.000 0.000 0.000
```

Properties
Formation energy without anion corrections ... -1.443 eV/atom



Record 7
## Ca2TiPd (PBE-GGA)

Data for a relaxed structure of Ca2TiPd.

POSCAR file:
```
Ca2TiPd
1.0
-1.568 -4.227 2.492
-3.727 0.331 3.541
-4.655 -1.982 -0.968
Ca Pd Ti
2 1 1
Direct
0.250 0.250 0.250
0.750 0.750 0.750
0.500 0.500 0.500
0.000 0.000 0.000
```

Properties
Excess energy over the best structure of this formula in the dataset ... 71 meV/atom



Record 8
## PmPr2SnN (PBE-GGA)

Data for a relaxed structure of PmPr2SnN.

POSCAR file:
```
PmPr2SnN
1.0
-2.645 4.032 -1.192
-1.166 -2.084 -4.461
-4.122 -2.096 2.056
Pm Pr Sn N
1 2 1 1
Direct
0.500 0.000 0.000
0.000 0.000 0.500
0.000 0.500 0.000
0.500 0.500 0.500
0.000 0.000 0.000
```

Properties
Formation energy without anion corrections ... -0.951 eV/atom



Number 1: E_tot -2.456 eV per atom. Number 2: E_tot -5.203 eV per atom. Number 3: E_tot -6.461 eV per atom. Number 4: E_tot -0.553 eV per atom. Number 5: E_tot -7.111 eV per atom. Number 6: E_tot -2.923 eV per atom. Number 7: E_tot -3.986 eV per atom. Number 8: E_tot -6.278 eV per atom.